Arrangement i

Here is a crystal of Li2Cr3SbO8 relaxed with PBEsol from Alexandria via LeMat-Bulk. Energies are from SCAN.

Lattice parameters (Å, degrees): 5.857 5.857 9.482 90.00 90.00 120.00
Positions (direct):
Li 0.000 0.000 0.993
Li 0.333 0.667 0.902
Li 0.667 0.333 0.402
Li 0.000 0.000 0.493
Cr 0.830 0.661 0.714
Cr 0.339 0.170 0.714
Cr 0.170 0.830 0.214
Cr 0.830 0.170 0.714
Cr 0.661 0.830 0.214
Cr 0.170 0.339 0.214
O 0.327 0.163 0.097
O 0.673 0.837 0.597
O 0.482 0.518 0.340
O 0.837 0.163 0.097
O 0.163 0.327 0.597
O 0.964 0.482 0.840
O 0.036 0.518 0.340
O 0.482 0.964 0.340
O 0.667 0.333 0.609
O 0.333 0.667 0.109
O 0.163 0.837 0.597
O 0.518 0.482 0.840
O 0.518 0.036 0.840
O 0.000 0.000 0.807
O 0.837 0.673 0.097
O 0.000 0.000 0.307
Sb 0.667 0.333 0.989
Sb 0.333 0.667 0.489

Properties
- V (Å³/f.u.) = 140.8
- crystal system = hexagonal
- SG = P6_3mc (186)



Arrangement ii

Here is a crystal of Li2Cr3SbO8 relaxed with PBEsol from Alexandria via LeMat-Bulk. Energies are from SCAN.

Lattice parameters (Å, degrees): 5.888 5.888 5.977 60.49 60.49 60.00
Positions (direct):
O 0.261 0.716 0.763
O 0.284 0.739 0.237
O 0.261 0.261 0.763
O 0.739 0.284 0.237
O 0.266 0.266 0.202
O 0.716 0.261 0.763
O 0.734 0.734 0.798
O 0.739 0.739 0.237
Cr 0.000 0.500 0.000
Cr 0.500 0.000 0.000
Cr 0.500 0.500 0.000
Li 0.130 0.130 0.611
Li 0.870 0.870 0.389
Sb 0.500 0.500 0.500

Properties
- V (Å³/f.u.) = 147.6
- crystal system = trigonal
- SG = R-3m (166)



Energies, relative to the best one, in kJ/mol of atoms: arrangement i 0.0; arrangement ii 1.4.



Arrangement i

Here is a crystal of Li4V3CrO8 relaxed with PBEsol from Alexandria via LeMat-Bulk. Energies are from SCAN.

Lattice parameters (Å, degrees): 5.851 5.851 5.851 58.92 58.92 58.92
Positions (direct):
O 0.254 0.254 0.254
O 0.746 0.242 0.242
O 0.242 0.746 0.242
O 0.758 0.254 0.758
O 0.746 0.746 0.746
O 0.758 0.758 0.254
O 0.242 0.242 0.746
O 0.254 0.758 0.758
V 0.500 0.500 0.000
V 0.000 0.500 0.500
V 0.500 0.000 0.500
Li 0.000 0.000 0.500
Li 0.500 0.500 0.500
Li 0.000 0.500 0.000
Li 0.500 0.000 0.000
Cr 0.000 0.000 0.000

Properties
- V (Å³/f.u.) = 138.1
- crystal system = trigonal
- Fermi-level density of states (states/eV per atom) = 0.0349
- SG = R-3m (166)



Arrangement ii

Here is a crystal of Li4V3CrO8 relaxed with PBEsol from Alexandria via LeMat-Bulk. Energies are from SCAN.

Lattice parameters (Å, degrees): 5.169 4.825 5.580 90.00 90.00 107.78
Positions (direct):
V 0.500 0.000 0.000
V 0.500 0.500 0.782
V 0.500 0.500 0.218
O 0.266 0.753 0.251
O 0.240 0.244 0.000
O 0.734 0.247 0.749
O 0.760 0.756 0.000
O 0.720 0.736 0.500
O 0.280 0.264 0.500
O 0.266 0.753 0.749
O 0.734 0.247 0.251
Li 0.000 0.000 0.257
Li 0.000 0.500 0.000
Li 0.000 0.500 0.500
Li 0.000 0.000 0.743
Cr 0.500 0.000 0.500

Properties
- V (Å³/f.u.) = 132.5
- crystal system = monoclinic
- Fermi-level density of states (states/eV per atom) = 0.1544
- SG = P2/m (10)



Energies, relative to the best one, in kJ/mol of atoms: arrangement i 0.0; arrangement ii 3.3.



Arrangement i

Here is a crystal of Li4V3CrO8 relaxed with PBEsol from Alexandria via LeMat-Bulk. Energies are from SCAN.

Lattice parameters (Å, degrees): 5.186 4.820 5.585 89.98 105.71 99.20
Positions (direct):
V 0.500 0.500 0.217
V 0.500 0.000 0.000
V 0.500 0.500 0.783
O 0.239 0.627 0.933
O 0.266 0.129 0.192
O 0.281 0.626 0.445
O 0.734 0.871 0.808
O 0.735 0.870 0.310
O 0.719 0.374 0.555
O 0.761 0.373 0.067
O 0.265 0.130 0.690
Cr 0.500 0.000 0.500
Li 0.989 0.247 0.867
Li 0.011 0.753 0.133
Li 0.008 0.258 0.380
Li 0.992 0.742 0.620

Properties
- V (Å³/f.u.) = 132.5
- crystal system = triclinic
- Fermi-level density of states (states/eV per atom) = 0.1419
- SG = P-1 (2)



Arrangement ii

Here is a crystal of Li4V3CrO8 relaxed with PBEsol from Alexandria via LeMat-Bulk. Energies are from SCAN.

Lattice parameters (Å, degrees): 5.096 5.751 5.751 120.00 106.38 73.62
Positions (direct):
Li 0.500 0.751 0.751
Li 0.500 0.249 0.249
Li 0.501 0.249 0.751
Li 0.499 0.751 0.249
O 0.769 0.369 0.127
O 0.763 0.373 0.627
O 0.231 0.631 0.873
O 0.769 0.873 0.127
O 0.231 0.127 0.873
O 0.231 0.127 0.369
O 0.769 0.873 0.631
O 0.237 0.627 0.373
Cr 0.000 0.000 0.000
V 0.000 0.000 0.500
V 0.000 0.500 0.000
V 0.000 0.500 0.500

Properties
- V (Å³/f.u.) = 138.0
- crystal system = monoclinic
- Fermi-level density of states (states/eV per atom) = 0.0220
- SG = C2/m (12)



Energies, relative to the best one, in kJ/mol of atoms: arrangement i 3.2; arrangement ii 0.0.



Arrangement i

Here is a crystal of Li2VCr3O8 relaxed with PBEsol from Alexandria via LeMat-Bulk. Energies are from SCAN.

Lattice parameters (Å, degrees): 5.725 5.725 5.725 61.22 61.22 61.22
Positions (direct):
O 0.715 0.265 0.265
O 0.263 0.263 0.263
O 0.735 0.285 0.735
O 0.735 0.735 0.285
O 0.737 0.737 0.737
O 0.265 0.715 0.265
O 0.285 0.735 0.735
O 0.265 0.265 0.715
V 0.500 0.500 0.500
Cr 0.500 0.000 0.500
Cr 0.000 0.500 0.500
Cr 0.500 0.500 0.000
Li 0.875 0.875 0.875
Li 0.125 0.125 0.125

Properties
- V (Å³/f.u.) = 136.3
- crystal system = trigonal
- Fermi-level density of states (states/eV per atom) = 0.1590
- SG = R-3m (166)



Arrangement ii

Here is a crystal of Li2VCr3O8 relaxed with PBEsol from Alexandria via LeMat-Bulk. Energies are from SCAN.

Lattice parameters (Å, degrees): 5.754 5.754 9.198 90.00 90.00 120.00
Positions (direct):
Cr 0.342 0.171 0.787
Cr 0.829 0.171 0.787
Cr 0.171 0.829 0.287
Cr 0.658 0.829 0.287
Cr 0.829 0.658 0.787
Cr 0.171 0.342 0.287
O 0.522 0.044 0.657
O 0.956 0.478 0.657
O 0.478 0.522 0.157
O 0.044 0.522 0.157
O 0.830 0.170 0.401
O 0.830 0.660 0.401
O 0.478 0.956 0.157
O 0.170 0.340 0.901
O 0.667 0.333 0.898
O 0.000 0.000 0.693
O 0.340 0.170 0.401
O 0.170 0.830 0.901
O 0.000 0.000 0.193
O 0.522 0.478 0.657
O 0.660 0.830 0.901
O 0.333 0.667 0.398
V 0.667 0.333 0.507
V 0.333 0.667 0.007
Li 0.667 0.333 0.107
Li 0.333 0.667 0.607
Li 0.000 0.000 0.504
Li 0.000 0.000 0.004

Properties
- V (Å³/f.u.) = 131.8
- crystal system = hexagonal
- Fermi-level density of states (states/eV per atom) = 0.2297
- SG = P6_3mc (186)



Energies, relative to the best one, in kJ/mol of atoms: arrangement i 0.0; arrangement ii 1.8.



Arrangement i

Here is a crystal of LiVCrO4 relaxed with PBEsol from Alexandria via LeMat-Bulk. Energies are from SCAN.

Lattice parameters (Å, degrees): 5.123 5.743 7.588 99.90 109.33 91.71
Positions (direct):
V 0.187 0.932 0.659
V 0.811 0.073 0.345
V 0.519 0.253 0.986
O 0.224 0.628 0.512
O 0.110 0.713 0.823
O 0.771 0.372 0.490
O 0.439 0.047 0.160
O 0.542 0.471 0.837
O 0.124 0.191 0.833
O 0.872 0.810 0.173
O 0.461 0.521 0.160
O 0.786 0.861 0.500
O 0.567 0.955 0.841
O 0.889 0.286 0.172
O 0.211 0.141 0.499
Li 0.673 0.664 0.670
Li 0.007 0.991 0.005
Li 0.324 0.341 0.326
Cr 0.486 0.750 0.007
Cr 0.844 0.581 0.327
Cr 0.152 0.417 0.672

Properties
- V (Å³/f.u.) = 68.9
- crystal system = triclinic
- Fermi-level density of states (states/eV per atom) = 0.1077
- SG = P1 (1)



Arrangement ii

Here is a crystal of LiVCrO4 relaxed with PBEsol from Alexandria via LeMat-Bulk. Energies are from SCAN.

Lattice parameters (Å, degrees): 5.685 5.685 5.685 88.13 62.73 120.61
Positions (direct):
O 0.524 0.783 0.241
O 0.019 0.754 0.226
O 0.476 0.217 0.759
O 0.976 0.235 0.241
O 0.981 0.246 0.774
O 0.519 0.246 0.235
O 0.024 0.765 0.759
O 0.481 0.754 0.765
Li 0.500 0.500 0.500
Li 0.000 0.000 0.500
Cr 0.000 0.000 0.000
Cr 0.500 0.000 0.500
V 0.000 0.500 0.000
V 0.500 0.000 0.000

Properties
- V (Å³/f.u.) = 65.9
- crystal system = orthorhombic
- Fermi-level density of states (states/eV per atom) = 0.2427
- SG = Imma (74)



Energies, relative to the best one, in kJ/mol of atoms: arrangement i 0.0; arrangement ii 3.0.



Arrangement i

Here is a crystal of Li2Cr3WO8 relaxed with PBEsol from Alexandria via LeMat-Bulk. Energies are from SCAN.

Lattice parameters (Å, degrees): 5.918 5.918 5.788 59.25 59.25 60.00
Positions (direct):
Cr 0.500 0.000 0.000
Cr 0.000 0.500 0.000
Cr 0.500 0.500 0.000
O 0.736 0.736 0.793
O 0.264 0.264 0.207
O 0.739 0.739 0.242
O 0.261 0.261 0.758
O 0.261 0.720 0.758
O 0.280 0.739 0.242
O 0.739 0.280 0.242
O 0.720 0.261 0.758
Li 0.874 0.874 0.379
Li 0.126 0.126 0.621
W 0.500 0.500 0.500

Properties
- V (Å³/f.u.) = 141.7
- crystal system = trigonal
- Fermi-level density of states (states/eV per atom) = 0.2026
- SG = R-3m (166)



Arrangement ii

Here is a crystal of Li2Cr3WO8 relaxed with PBEsol from Alexandria via LeMat-Bulk. Energies are from SCAN.

Lattice parameters (Å, degrees): 5.828 5.828 9.365 90.00 90.00 120.00
Positions (direct):
O 0.037 0.518 0.160
O 0.169 0.338 0.905
O 0.482 0.518 0.160
O 0.338 0.169 0.405
O 0.169 0.831 0.905
O 0.831 0.169 0.405
O 0.482 0.963 0.160
O 0.518 0.482 0.660
O 0.000 0.000 0.191
O 0.518 0.037 0.660
O 0.831 0.662 0.405
O 0.963 0.482 0.660
O 0.662 0.831 0.905
O 0.667 0.333 0.892
O 0.333 0.667 0.392
O 0.000 0.000 0.691
Cr 0.831 0.169 0.785
Cr 0.169 0.338 0.285
Cr 0.831 0.662 0.785
Cr 0.338 0.169 0.785
Cr 0.169 0.831 0.285
Cr 0.662 0.831 0.285
Li 0.000 0.000 0.505
Li 0.667 0.333 0.099
Li 0.333 0.667 0.599
Li 0.000 0.000 0.005
W 0.333 0.667 0.014
W 0.667 0.333 0.514

Properties
- V (Å³/f.u.) = 137.7
- crystal system = hexagonal
- Fermi-level density of states (states/eV per atom) = 0.3179
- SG = P6_3mc (186)



Energies, relative to the best one, in kJ/mol of atoms: arrangement i 0.9; arrangement ii 0.0.



Arrangement i

Here is a crystal of LiCrP2 relaxed with PBEsol from Alexandria via LeMat-Bulk. Energies are from SCAN.

Lattice parameters (Å, degrees): 3.412 3.847 3.847 90.00 90.00 90.00
Positions (direct):
P 0.000 0.000 0.500
P 0.000 0.500 0.000
Cr 0.500 0.500 0.500
Li 0.500 0.000 0.000

Properties
- V (Å³/f.u.) = 50.5
- crystal system = tetragonal
- Fermi-level density of states (states/eV per atom) = 0.3584
- SG = P4/mmm (123)



Arrangement ii

Here is a crystal of LiCrP2 relaxed with PBEsol from Alexandria via LeMat-Bulk. Energies are from SCAN.

Lattice parameters (Å, degrees): 2.988 3.954 5.116 102.42 90.00 112.20
Positions (direct):
P 0.264 0.527 0.321
P 0.736 0.473 0.679
Li 0.500 0.000 0.000
Cr 0.000 0.000 0.500

Properties
- V (Å³/f.u.) = 54.4
- crystal system = monoclinic
- Fermi-level density of states (states/eV per atom) = 0.4483
- SG = C2/m (12)



Energies, relative to the best one, in kJ/mol of atoms: arrangement i 10.9; arrangement ii 0.0.



Arrangement i

Here is a crystal of Li2CrRh relaxed with PBEsol from Alexandria via LeMat-Bulk. Energies are from SCAN.

Lattice parameters (Å, degrees): 2.709 4.405 4.531 90.00 90.00 94.79
Positions (direct):
Li 0.245 0.265 0.000
Li 0.755 0.735 0.000
Rh 0.000 0.500 0.500
Cr 0.500 0.000 0.500

Properties
- V (Å³/f.u.) = 53.9
- crystal system = monoclinic
- Fermi-level density of states (states/eV per atom) = 0.5795
- SG = P2/m (10)



Arrangement ii

Here is a crystal of Li2CrRh relaxed with PBEsol from Alexandria via LeMat-Bulk. Energies are from SCAN.

Lattice parameters (Å, degrees): 2.736 3.596 5.691 90.00 90.00 90.00
Positions (direct):
Li 0.500 0.500 0.254
Li 0.000 0.000 0.006
Rh 0.000 0.000 0.535
Cr 0.500 0.500 0.706

Properties
- V (Å³/f.u.) = 56.0
- crystal system = orthorhombic
- Fermi-level density of states (states/eV per atom) = 0.5538
- SG = Pmm2 (25)



Arrangement iii

Here is a crystal of Li2CrRh relaxed with PBEsol from Alexandria via LeMat-Bulk. Energies are from SCAN.

Lattice parameters (Å, degrees): 4.069 4.069 4.069 60.00 60.00 60.00
Positions (direct):
Rh 0.250 0.250 0.250
Li 0.750 0.750 0.750
Li 0.000 0.000 0.000
Cr 0.500 0.500 0.500

Properties
- V (Å³/f.u.) = 47.6
- crystal system = cubic
- Fermi-level density of states (states/eV per atom) = 0.6777
- SG = F-43m (216)



Energies, relative to the best one, in kJ/mol of atoms: arrangement i 0.0; arrangement ii 1.2; arrangement iii 3.7.



Arrangement i

Here is a crystal of Li2CrRh relaxed with PBEsol from Alexandria via LeMat-Bulk. Energies are from SCAN.

Lattice parameters (Å, degrees): 2.554 4.311 4.666 90.00 90.00 90.00
Positions (direct):
Rh 0.500 0.500 0.000
Li 0.000 0.000 0.759
Li 0.000 0.000 0.241
Cr 0.500 0.500 0.500

Properties
- V (Å³/f.u.) = 51.4
- crystal system = orthorhombic
- Fermi-level density of states (states/eV per atom) = 0.7342
- SG = Pmmm (47)



Arrangement ii

Here is a crystal of Li2CrRh relaxed with PBEsol from Alexandria via LeMat-Bulk. Energies are from SCAN.

Lattice parameters (Å, degrees): 2.504 2.504 9.101 90.00 90.00 115.95
Positions (direct):
Rh 0.500 0.500 0.500
Li 0.000 0.000 0.740
Li 0.000 0.000 0.260
Cr 0.500 0.500 0.000

Properties
- V (Å³/f.u.) = 51.3
- crystal system = orthorhombic
- Fermi-level density of states (states/eV per atom) = 0.7675
- SG = Cmmm (65)



Energies, relative to the best one, in kJ/mol of atoms: arrangement i 0.0; arrangement ii 4.2.